No. 1
# La2Al2Cu3

La2Al2Cu3 after structural relaxation (PBE-GGA, the Alexandria database).

Calculated values
Energy of formation from the pure elements ... -136 meV per atom
E ... -61.16 eV per cell
Total moment ... 0.00 μB/f.u.
SG ... No. 199

Cell: 7.3813 7.3813 7.3813 Å, 109.47 109.47 109.47°
Sites, in units of the cell vectors:
La 0.0000 0.9694 0.5000
La 0.5000 0.0000 0.9694
La 0.5306 0.5306 0.5306
La 0.9694 0.5000 0.0000
Al 0.0000 0.5535 0.5000
Al 0.5000 0.0000 0.5535
Al 0.5535 0.5000 0.0000
Al 0.9465 0.9465 0.9465
Cu 0.0424 0.2500 0.2924
Cu 0.2076 0.4576 0.7500
Cu 0.2500 0.2924 0.0424
Cu 0.2924 0.0424 0.2500
Cu 0.4576 0.7500 0.2076
Cu 0.7500 0.2076 0.4576

=====

No. 2
# ScCo6Ge4

ScCo6Ge4 after structural relaxation (PBE-GGA, the Alexandria database).

Calculated values
Energy of formation from the pure elements ... -115 meV per atom
E above lowest polymorph ... 230 meV per atom
E ... -68.70 eV per cell
Total moment ... 6.25 μB/f.u.
SG ... No. 121

Cell: 6.0810 6.0810 6.0810 Å, 119.73 119.73 90.47°
Sites, in units of the cell vectors:
Sc 0.0000 0.0000 0.0000
Co 0.0000 0.5000 0.5000
Co 0.2551 0.5676 0.0000
Co 0.4324 0.4324 0.6876
Co 0.5000 0.0000 0.5000
Co 0.5676 0.2551 0.0000
Co 0.7449 0.7449 0.3124
Ge 0.1063 0.1063 0.5845
Ge 0.4782 0.8937 0.0000
Ge 0.5218 0.5218 0.4155
Ge 0.8937 0.4782 0.0000

=====

No. 3
# La2Nd6Er3Tm

La2Nd6Er3Tm after structural relaxation (PBE-GGA, the Alexandria database).

Calculated values
Energy of formation from the pure elements ... 20 meV per atom
E ... -56.38 eV per cell
Total moment ... 0.00 μB/f.u.
SG ... No. 12

Cell: 6.3053 6.3053 11.9951 Å, 95.03 95.03 120.02°
Sites, in units of the cell vectors:
La 0.1669 0.8331 0.0000
La 0.8331 0.1669 0.0000
Nd 0.0836 0.4150 0.7450
Nd 0.2532 0.2532 0.2552
Nd 0.4150 0.0836 0.7450
Nd 0.5850 0.9164 0.2550
Nd 0.7468 0.7468 0.7448
Nd 0.9164 0.5850 0.2550
Er 0.0000 0.0000 0.5000
Er 0.3337 0.6663 0.5000
Er 0.6663 0.3337 0.5000
Tm 0.5000 0.5000 0.0000

=====

No. 4
# Rb3Y3SbS8

Rb3Y3SbS8 after structural relaxation (PBE-GGA, the Alexandria database).

Calculated values
E ... -82.28 eV per cell
Total moment ... 0.00 μB/f.u.
Formation energy (no corrections) ... -1.523 eV/atom
SG ... No. 166

Cell: 9.1066 9.1066 9.1066 Å, 52.39 52.39 52.39°
Sites, in units of the cell vectors:
Rb 0.0000 0.5000 0.5000
Rb 0.5000 0.0000 0.5000
Rb 0.5000 0.5000 0.0000
Y 0.0000 0.0000 0.5000
Y 0.0000 0.5000 0.0000
Y 0.5000 0.0000 0.0000
Sb 0.5000 0.5000 0.5000
S 0.2302 0.2302 0.2302
S 0.2394 0.7233 0.7233
S 0.2767 0.2767 0.7606
S 0.2767 0.7606 0.2767
S 0.7233 0.2394 0.7233
S 0.7233 0.7233 0.2394
S 0.7606 0.2767 0.2767
S 0.7698 0.7698 0.7698

=====

No. 5
# BaAlRh2

BaAlRh2 after structural relaxation (PBE-GGA, the Alexandria database).

Calculated values
Energy of formation from the pure elements ... 148 meV per atom
E above lowest polymorph ... 618 meV per atom
E ... -39.55 eV per cell
Total moment ... 0.00 μB/f.u.
SG ... No. 119

Cell: 3.9669 3.9669 10.1794 Å, 90.00 90.00 90.00°
Sites, in units of the cell vectors:
Ba 0.0000 0.0000 0.0000
Ba 0.5000 0.5000 0.5000
Al 0.0000 0.5000 0.2500
Al 0.5000 0.0000 0.7500
Rh 0.0000 0.0000 0.5000
Rh 0.0000 0.5000 0.7500
Rh 0.5000 0.0000 0.2500
Rh 0.5000 0.5000 0.0000